Record 1
# AlTlRu2

A geometry-optimized AlTlRu2 structure (PBE, the Alexandria database).

## Properties
The volume comes out at 66.56 Å³/cell. The energy above the most stable polymorph in this dataset is 282 meV per atom. Its space-group type is Pm, No. 6. As for the calculated formation energy: 0.323 eV/atom. The calculation puts the energy at -5.842 eV per atom.

Cell: 2.981 4.377 5.308 Å, 90.00 106.03 90.00°
Fractional coordinates of all 4 atoms:
Al: 0.000 0.000 0.000
Tl: 0.371 0.500 0.741
Ru: 0.112 0.500 0.224
Ru: 0.713 0.000 0.428

---

Record 2
# Tl2SnHg2

A geometry-optimized Tl2SnHg2 structure (PBE, the Alexandria database).

## Properties
The volume comes out at 150.39 Å³/cell. The energy above the most stable polymorph in this dataset is 150 meV per atom. Its space-group type is I4/mmm, No. 139. As for the calculated formation energy: 0.183 eV/atom. The calculation puts the energy at -1.685 eV per atom.

Cell: 8.369 8.369 8.369 Å, 149.52 149.52 43.65°
Fractional coordinates of all 5 atoms:
Tl: 0.250 0.750 0.500
Tl: 0.750 0.250 0.500
Sn: 0.000 0.000 0.000
Hg: 0.407 0.407 0.000
Hg: 0.593 0.593 0.000